Compound: LaNdIn2Ir4
Source: OQMD via LeMat-Bulk
Functional: PBE
Structure: optimized geometry

Geometry as extended XYZ:
```
8
Lattice="4.6206 0.0000 0.0000 -2.3103 4.0016 0.0000 0.0000 0.0000 9.1296" Properties=species:S:1:pos:R:3 pbc="T T T"
La 0.0000 0.0000 0.0000
Nd 2.3103 1.3339 4.5648
In 0.0000 2.6677 2.3226
In 0.0000 2.6677 6.8070
Ir 0.0000 0.0000 3.2127
Ir 0.0000 0.0000 5.9169
Ir 2.3103 1.3339 1.4525
Ir 2.3103 1.3339 7.6771
```

## Properties
Calculated density: 12.61 g cm⁻³
VASP energy: -6.655 eV per atom

---

Compound: Zr2Nb
Source: OQMD via LeMat-Bulk
Functional: PBE
Structure: optimized geometry

Geometry as extended XYZ:
```
6
Lattice="1.5519 -7.8444 0.0000 1.5519 7.8444 0.0000 0.0000 0.0000 5.2412" Properties=species:S:1:pos:R:3 pbc="T T T"
Zr 1.5519 6.6039 3.9309
Zr 1.5519 4.0245 1.3103
Zr 1.5519 -4.0245 3.9309
Zr 1.5519 -6.6039 1.3103
Nb 1.5519 1.2717 3.9309
Nb 1.5519 -1.2717 1.3103
```

## Properties
Calculated formation energy: 112 meV/atom
Calculated density: 7.17 g cm⁻³

---

Compound: Be2As3PPd2
Source: OQMD via LeMat-Bulk
Functional: PBE
Structure: optimized geometry

Geometry as extended XYZ:
```
8
Lattice="5.3677 -3.0650 0.0000 5.3677 3.0650 0.0000 -2.1833 0.0000 4.3719" Properties=species:S:1:pos:R:3 pbc="T T T"
Be 0.6444 0.0000 1.7671
Be 7.9077 0.0000 2.6048
As 2.1816 1.4717 1.0715
As 5.3677 1.8353 0.0000
As 6.3705 1.4717 3.3004
P 4.2760 -1.9439 2.1860
Pd 4.0589 -0.1234 0.7341
Pd 4.4931 -0.1234 3.6379
```

## Properties
Calculated density: 5.62 g cm⁻³
VASP energy: -4.669 eV per atom

---

Compound: ErGa2Ni2
Source: OQMD via LeMat-Bulk
Functional: PBE
Structure: optimized geometry

Geometry as extended XYZ:
```
5
Lattice="-2.0242 2.0242 4.9453 2.0242 -2.0242 4.9453 2.0242 2.0242 -4.9453" Properties=species:S:1:pos:R:3 pbc="T T T"
Er 0.0000 0.0000 0.0000
Ga 0.0000 0.0000 3.6893
Ga 0.0000 0.0000 6.2014
Ni 2.0242 0.0000 2.4727
Ni 0.0000 2.0242 2.4727
```

## Properties
Calculated density: 8.69 g cm⁻³
VASP energy: -4.898 eV per atom

---

Compound: Y3In2SnPt3
Source: OQMD via LeMat-Bulk
Functional: PBE
Structure: optimized geometry

Geometry as extended XYZ:
```
9
Lattice="3.8699 0.0000 0.0000 0.0000 6.6453 3.8392 0.0000 -6.6453 3.8392" Properties=species:S:1:pos:R:3 pbc="T T T"
Y 0.0000 0.0000 0.0000
Y 0.0000 -2.7093 3.0211
Y 0.0000 2.7093 3.0211
In 1.9350 -1.7366 5.5874
In 1.9350 1.7366 5.5874
Sn 1.9350 0.0000 2.5701
Pt 0.0000 0.0000 4.5422
Pt 1.9350 -4.4392 4.5832
Pt 1.9350 4.4392 4.5832
```

## Properties
Calculated density: 10.09 g cm⁻³
VASP energy: -6.264 eV per atom

---

Compound: Li4SmOsO6
Source: OQMD via LeMat-Bulk
Functional: PBE
Structure: optimized geometry

Geometry as extended XYZ:
```
12
Lattice="2.6896 -4.7196 0.0000 2.6896 4.7196 0.0000 -1.6980 0.0000 4.9387" Properties=species:S:1:pos:R:3 pbc="T T T"
Li 0.0000 0.0000 0.0000
Li 2.6896 1.0934 0.0000
Li 2.6896 -1.7219 0.0000
Li 1.8406 -3.3551 2.4693
Sm 1.8406 2.9260 2.4693
Os 1.8406 -0.1968 2.4693
O 0.9873 1.1848 1.2656
O 0.2146 -0.1298 3.6259
O 1.1042 -1.6176 1.2701
O 2.6939 1.1848 3.6731
O 3.4666 -0.1298 1.3128
O 2.5770 -1.6176 3.6686
```

## Properties
Calculated density: 6.15 g cm⁻³
VASP energy: -6.406 eV per atom

---

Compound: ErAsS
Source: OQMD via LeMat-Bulk
Functional: PBE
Structure: optimized geometry

Geometry as extended XYZ:
```
12
Lattice="16.8429 0.0000 0.0000 0.0000 3.8031 0.0000 0.0000 0.0000 3.8225" Properties=species:S:1:pos:R:3 pbc="T T T"
Er 2.4603 0.9508 0.8873
Er 5.9611 2.8523 2.7985
Er 10.8818 0.9508 1.0240
Er 14.3825 2.8523 2.9352
As 0.0173 0.9508 2.7688
As 8.4042 2.8523 0.8576
As 8.4387 0.9508 2.9649
As 16.8256 2.8523 1.0536
S 3.1509 2.8523 2.8061
S 5.2706 0.9508 0.8949
S 11.5723 2.8523 2.9276
S 13.6920 0.9508 1.0164
```

## Properties
Calculated density: 7.44 g cm⁻³
VASP energy: -5.994 eV per atom

---

Compound: LaPrNi2Bi4
Source: OQMD via LeMat-Bulk
Functional: PBE
Structure: optimized geometry

Geometry as extended XYZ:
```
8
Lattice="4.6081 0.0000 0.0000 0.0000 4.6081 0.0000 0.0000 0.0000 9.8423" Properties=species:S:1:pos:R:3 pbc="T T T"
La 0.0000 0.0000 0.0000
Pr 2.3041 2.3041 5.3363
Ni 0.0000 2.3041 7.5824
Ni 2.3041 0.0000 7.5824
Bi 0.0000 0.0000 6.1974
Bi 0.0000 2.3041 2.6921
Bi 2.3041 0.0000 2.6921
Bi 2.3041 2.3041 8.9470
```

## Properties
Calculated density: 9.80 g cm⁻³
VASP energy: -5.179 eV per atom

---

Compound: NaRePb
Source: OQMD via LeMat-Bulk
Functional: PBE
Structure: optimized geometry

Geometry as extended XYZ:
```
3
Lattice="0.0000 3.3522 3.3522 3.3522 0.0000 3.3522 3.3522 3.3522 0.0000" Properties=species:S:1:pos:R:3 pbc="T T T"
Na 0.0000 0.0000 0.0000
Re 1.6761 1.6761 1.6761
Pb 3.3522 3.3522 3.3522
```

## Properties
Calculated density: 9.18 g cm⁻³
Offset from the most stable computed form: 0.0 meV per atom

---

Compound: Nb3TlGe5
Source: OQMD via LeMat-Bulk
Functional: PBE
Structure: optimized geometry

Geometry as extended XYZ:
```
9
Lattice="5.7223 0.0000 0.0000 -2.8611 4.9556 0.0000 0.0000 0.0000 6.6789" Properties=species:S:1:pos:R:3 pbc="T T T"
Nb -1.4306 2.4778 0.0000
Nb 2.8611 0.0000 0.0000
Nb 1.4306 2.4778 0.0000
Tl 0.0000 0.0000 3.3395
Ge 0.0000 0.0000 0.0000
Ge 0.0000 3.3037 2.1097
Ge 0.0000 3.3037 4.5693
Ge 2.8611 1.6519 2.1097
Ge 2.8611 1.6519 4.5693
```

## Properties
Calculated density: 7.42 g cm⁻³
VASP energy: -6.215 eV per atom

---

Compound: Nd2BrCl5
Source: OQMD via LeMat-Bulk
Functional: PBE
Structure: optimized geometry

Geometry as extended XYZ:
```
8
Lattice="7.4395 0.0000 0.0000 0.0000 4.2742 0.0000 -3.6339 0.0000 6.6515" Properties=species:S:1:pos:R:3 pbc="T T T"
Nd 0.0000 0.0000 0.0000
Nd 0.0698 2.1371 4.4633
Br 1.3910 0.0000 2.7637
Cl -1.8572 0.0000 4.2310
Cl 1.9583 2.1371 0.1359
Cl 0.8921 0.0000 6.2776
Cl 3.0051 2.1371 4.8846
Cl 6.3522 2.1371 1.6546
```

## Properties
Calculated density: 4.28 g cm⁻³
VASP energy: -4.769 eV per atom

---

Compound: Nd4B2Cl5
Source: OQMD via LeMat-Bulk
Functional: PBE
Structure: optimized geometry

Geometry as extended XYZ:
```
11
Lattice="9.9309 -1.9883 0.0000 9.9309 1.9883 0.0000 -3.1198 0.0000 7.2490" Properties=species:S:1:pos:R:3 pbc="T T T"
Nd -0.6733 0.0000 1.5644
Nd -2.4465 0.0000 5.6845
Nd 3.8908 0.0000 5.9898
Nd 12.8513 0.0000 1.2592
B 6.0897 0.0000 6.9386
B 10.6523 0.0000 0.3103
Cl 2.0235 0.0000 3.1072
Cl 0.5291 0.0000 6.5841
Cl 8.3710 0.0000 3.6245
Cl 16.2129 0.0000 0.6648
Cl 14.7185 0.0000 4.1418
```

## Properties
Calculated density: 4.50 g cm⁻³
VASP energy: -5.266 eV per atom